Below is CsNpPbSe3 after structural relaxation, with properties calculated at the PBE level.

N(E_F): 19.00 states/eV per cell
space group: P2_1/m (11)
uncorrected formation energy: -0.971 eV/atom
DFT total energy: -5.63 eV per atom

Unit cell a=4.364 b=9.274 c=11.745 alpha=107.77 beta=90.00 gamma=90.00
Fractional positions:
1 Se 0.250 0.576 0.892
2 Se 0.750 0.868 0.190
3 Se 0.750 0.424 0.108
4 Se 0.750 0.357 0.603
5 Se 0.250 0.643 0.397
6 Se 0.250 0.132 0.810
7 Np 0.250 0.642 0.147
8 Np 0.750 0.358 0.853
9 Cs 0.750 0.781 0.750
10 Cs 0.250 0.219 0.250
11 Pb 0.750 0.847 0.423
12 Pb 0.250 0.153 0.577